Record 1
## DyGeRh4 (PBE)

Data for crystalline DyGeRh4 at its relaxed geometry.

a = 3.9013 Å, b = 6.7939 Å, c = 7.5333 Å
α = 90.00°, β = 90.00°, γ = 90.00°
Last column: nearest neighbours and their distance in Å.
Fractional positions:
Dy 0.0000 0.6473 0.7500  8 Rh 2.83-3.05, 1 Ge 2.88
Dy 0.0000 0.3527 0.2500  8 Rh 2.83-3.05, 1 Ge 2.88
Ge 0.0000 0.2239 0.7500  8 Rh 2.42-2.70
Ge 0.0000 0.7761 0.2500  8 Rh 2.42-2.70
Rh 0.0000 0.0000 0.5000  2 Ge 2.42
Rh 0.0000 0.0000 0.0000  2 Ge 2.42
Rh 0.5000 0.9483 0.7500  2 Ge 2.70, 8 Rh 2.73-2.86, 2 Dy 2.83
Rh 0.5000 0.0517 0.2500  2 Ge 2.70, 8 Rh 2.73-2.86, 2 Dy 2.83
Rh 0.5000 0.6935 0.0505  2 Ge 2.53, 1 Rh 2.74
Rh 0.5000 0.3065 0.9495  2 Ge 2.53, 1 Rh 2.74
Rh 0.5000 0.6935 0.4495  2 Ge 2.53, 1 Rh 2.74
Rh 0.5000 0.3065 0.5505  2 Ge 2.53, 1 Rh 2.74

Output
- V: 16.64 Å³ per atom
- Uncorrected energy: -6.925 eV/atom

=====

Record 2
## Dy2Ge3Rh5 (PBE)

Data for crystalline Dy2Ge3Rh5 at its relaxed geometry.

a = 4.1304 Å, b = 6.6714 Å, c = 12.4525 Å
α = 90.00°, β = 99.55°, γ = 90.00°
Last column: nearest neighbours and their distance in Å.
Fractional positions:
Dy 0.4810 0.7517 0.9621  5 Ge 2.82-2.99, 4 Rh 2.98-3.09
Dy 0.1746 0.7429 0.3492  8 Rh 2.90-3.13, 4 Ge 3.04-3.14
Dy 0.8254 0.2429 0.6508  8 Rh 2.90-3.13, 4 Ge 3.04-3.14
Dy 0.5190 0.2517 0.0379  5 Ge 2.82-2.99, 4 Rh 2.98-3.09
Ge 0.7708 0.7327 0.5416  7 Rh 2.47-2.55
Ge 0.6117 0.5012 0.2235  4 Rh 2.44-2.68
Ge 0.0476 0.9640 0.0951  5 Rh 2.47-2.70
Ge 0.2292 0.2327 0.4584  7 Rh 2.47-2.55
Ge 0.9524 0.4640 0.9049  5 Rh 2.47-2.70
Ge 0.3883 0.0012 0.7765  4 Rh 2.44-2.68
Rh 0.3999 0.4005 0.7999  3 Ge 2.47-2.68, 1 Rh 2.76
Rh 0.2929 0.5238 0.5857  3 Ge 2.49-2.55, 2 Rh 2.76
Rh 0.7071 0.0238 0.4143  3 Ge 2.49-2.55, 2 Rh 2.76
Rh 0.1287 0.2214 0.2574  2 Ge 2.47-2.63
Rh 0.2906 0.9368 0.5812  4 Ge 2.44-2.52
Rh 0.9431 0.0898 0.8863  4 Ge 2.51-2.70
Rh 0.7094 0.4368 0.4188  4 Ge 2.44-2.52
Rh 0.8713 0.7214 0.7426  2 Ge 2.47-2.63
Rh 0.0569 0.5898 0.1137  4 Ge 2.51-2.70
Rh 0.6001 0.9005 0.2001  3 Ge 2.47-2.68, 1 Rh 2.76

Output
- V: 16.92 Å³ per atom
- Uncorrected energy: -6.768 eV/atom

=====

Record 3
## Dy2Ge4Rh3 (PBE)

Data for crystalline Dy2Ge4Rh3 at its relaxed geometry.

a = 5.5527 Å, b = 5.5527 Å, c = 6.7556 Å
α = 101.81°, β = 101.81°, γ = 120.12°
Last column: nearest neighbours and their distance in Å.
Fractional positions:
Dy 0.6326 0.6326 0.2651  8 Ge 3.03-3.23, 6 Rh 3.22, 1 Dy 3.27
Dy 0.3674 0.3674 0.7349  8 Ge 3.03-3.23, 6 Rh 3.22, 1 Dy 3.27
Ge 0.0087 0.6723 0.6810  3 Rh 2.53-2.55, 1 Ge 2.73
Ge 0.6723 0.0087 0.6810  3 Rh 2.53-2.55, 1 Ge 2.73
Ge 0.9913 0.3277 0.3190  3 Rh 2.53-2.55, 1 Ge 2.73
Ge 0.3277 0.9913 0.3190  3 Rh 2.53-2.55, 1 Ge 2.73
Rh 0.5000 0.0000 0.0000  4 Ge 2.53, 4 Rh 2.77-2.78
Rh 0.0000 0.0000 0.0000  4 Ge 2.55, 4 Rh 2.78
Rh 0.0000 0.5000 0.0000  4 Ge 2.53, 4 Rh 2.77-2.78

Output
- V: 18.26 Å³ per atom
- Uncorrected energy: -6.249 eV/atom

=====

Record 4
## Dy2GeRh (PBE)

Data for crystalline Dy2GeRh at its relaxed geometry.

a = 3.6627 Å, b = 4.8228 Å, c = 4.8228 Å
α = 90.00°, β = 90.00°, γ = 90.00°
Last column: nearest neighbours and their distance in Å.
Fractional positions:
Ge 0.5000 0.0000 0.0000  8 Dy 3.03
Rh 0.5000 0.5000 0.5000  8 Dy 3.03
Dy 0.0000 0.0000 0.5000  4 Ge 3.03, 4 Rh 3.03
Dy 0.0000 0.5000 0.0000  4 Rh 3.03, 4 Ge 3.03

Output
- V: 21.30 Å³ per atom
- Uncorrected energy: -6.063 eV/atom

=====

Record 5
## Dy2Ge3Rh2 (PBE)

Data for crystalline Dy2Ge3Rh2 at its relaxed geometry.

a = 4.2307 Å, b = 5.4758 Å, c = 6.6909 Å
α = 112.01°, β = 90.00°, γ = 112.73°
Last column: nearest neighbours and their distance in Å.
Fractional positions:
Dy 0.8479 0.6958 0.2228  4 Rh 2.89-3.05, 3 Ge 2.97-3.21
Dy 0.1521 0.3042 0.7772  4 Rh 2.89-3.05, 3 Ge 2.97-3.21
Ge 0.5000 0.0000 0.0000  4 Rh 2.62, 2 Ge 2.74
Ge 0.6185 0.2370 0.4483  3 Rh 2.58-2.65, 2 Ge 2.74-2.75
Ge 0.3815 0.7630 0.5517  3 Rh 2.58-2.65, 2 Ge 2.74-2.75
Rh 0.8667 0.7333 0.7790  5 Ge 2.58-2.65, 1 Dy 2.89
Rh 0.1333 0.2667 0.2210  5 Ge 2.58-2.65, 1 Dy 2.89

Output
- V: 18.66 Å³ per atom
- Uncorrected energy: -6.171 eV/atom

=====

Record 6
## Dy3Ge3Rh2 (PBE)

Data for crystalline Dy3Ge3Rh2 at its relaxed geometry.

a = 5.6706 Å, b = 8.1049 Å, c = 14.2301 Å
α = 90.00°, β = 90.00°, γ = 90.00°
Last column: nearest neighbours and their distance in Å.
Fractional positions:
Dy 0.1224 0.4593 0.3875  2 Rh 2.97-3.03, 7 Ge 2.98-3.31
Dy 0.6224 0.0407 0.6125  2 Rh 2.97-3.03, 7 Ge 2.98-3.31
Dy 0.8776 0.5407 0.8875  2 Rh 2.97-3.03, 7 Ge 2.98-3.31
Dy 0.3776 0.9593 0.1125  2 Rh 2.97-3.03, 7 Ge 2.98-3.31
Dy 0.8776 0.5407 0.6125  2 Rh 2.97-3.03, 7 Ge 2.98-3.31
Dy 0.3776 0.9593 0.3875  2 Rh 2.97-3.03, 7 Ge 2.98-3.31
Dy 0.1224 0.4593 0.1125  2 Rh 2.97-3.03, 7 Ge 2.98-3.31
Dy 0.6224 0.0407 0.8875  2 Rh 2.97-3.03, 7 Ge 2.98-3.31
Dy 0.6337 0.3117 0.2500  5 Ge 2.96-3.21, 4 Rh 3.05-3.20
Dy 0.1337 0.1883 0.7500  5 Ge 2.96-3.21, 4 Rh 3.05-3.20
Dy 0.3663 0.6883 0.7500  5 Ge 2.96-3.21, 4 Rh 3.05-3.20
Dy 0.8663 0.8117 0.2500  5 Ge 2.96-3.21, 4 Rh 3.05-3.20
Ge 0.1134 0.1681 0.2500  2 Rh 2.62
Ge 0.6134 0.3319 0.7500  2 Rh 2.62
Ge 0.8866 0.8319 0.7500  2 Rh 2.62
Ge 0.3866 0.6681 0.2500  2 Rh 2.62
Ge 0.6249 0.2981 0.4629  3 Rh 2.43-2.57
Ge 0.1249 0.2019 0.5371  3 Rh 2.43-2.57
Ge 0.3751 0.7019 0.9629  3 Rh 2.43-2.57
Ge 0.8751 0.7981 0.0371  3 Rh 2.43-2.57
Ge 0.3751 0.7019 0.5371  3 Rh 2.43-2.57
Ge 0.8751 0.7981 0.4629  3 Rh 2.43-2.57
Ge 0.6249 0.2981 0.0371  3 Rh 2.43-2.57
Ge 0.1249 0.2019 0.9629  3 Rh 2.43-2.57
Rh 0.8830 0.0780 0.4014  4 Ge 2.43-2.62
Rh 0.3830 0.4220 0.5986  4 Ge 2.43-2.62
Rh 0.1170 0.9220 0.9014  4 Ge 2.43-2.62
Rh 0.6170 0.5780 0.0986  4 Ge 2.43-2.62
Rh 0.1170 0.9220 0.5986  4 Ge 2.43-2.62
Rh 0.6170 0.5780 0.4014  4 Ge 2.43-2.62
Rh 0.8830 0.0780 0.0986  4 Ge 2.43-2.62
Rh 0.3830 0.4220 0.9014  4 Ge 2.43-2.62

Output
- V: 20.44 Å³ per atom
- Uncorrected energy: -6.209 eV/atom

=====

Record 7
## DyGe2Rh3 (PBE)

Data for crystalline DyGe2Rh3 at its relaxed geometry.

a = 3.9847 Å, b = 3.9847 Å, c = 8.1069 Å
α = 104.23°, β = 104.23°, γ = 90.00°
Last column: nearest neighbours and their distance in Å.
Fractional positions:
Dy 0.0000 0.0000 0.0000  4 Rh 2.82
Ge 0.6576 0.6576 0.3152  5 Rh 2.40-2.44
Ge 0.3424 0.3424 0.6848  5 Rh 2.40-2.44
Rh 0.7500 0.2500 0.5000  4 Ge 2.44
Rh 0.5000 0.5000 0.0000  2 Ge 2.40
Rh 0.2500 0.7500 0.5000  4 Ge 2.44

Output
- V: 20.12 Å³ per atom
- Uncorrected energy: -6.547 eV/atom

=====

Record 8
## DyGe2Rh5 (PBE)

Data for crystalline DyGe2Rh5 at its relaxed geometry.

a = 3.8345 Å, b = 6.3693 Å, c = 6.3693 Å
α = 66.06°, β = 72.48°, γ = 72.48°
Last column: nearest neighbours and their distance in Å.
Fractional positions:
Dy 0.0000 0.0000 0.0000  10 Rh 3.16-3.47, 4 Ge 3.20
Ge 0.7565 0.7435 0.7435  7 Rh 2.39-2.58
Ge 0.2435 0.2565 0.2565  7 Rh 2.39-2.58
Rh 0.0000 0.5000 0.5000  2 Ge 2.43
Rh 0.6398 0.5601 0.1603  3 Ge 2.39-2.58
Rh 0.3602 0.4399 0.8397  3 Ge 2.39-2.58
Rh 0.3602 0.8397 0.4399  3 Ge 2.39-2.58
Rh 0.6398 0.1603 0.5601  3 Ge 2.39-2.58

Output
- V: 16.59 Å³ per atom
- Uncorrected energy: -6.898 eV/atom

=====

| no. | energy of formation from the pure elements (eV per atom) | N(E_F) (states/eV/cell) | total magnetic moment (μB/atom) |
| --- | --- | --- | --- |
| 1 | -0.487 | 14.54 | 0.0000 |
| 2 | -0.786 | 9.82 | 0.0000 |
| 3 | -0.724 | 5.35 | 0.0000 |
| 4 | -0.770 | 1.27 | 0.0000 |
| 5 | -0.777 | 3.66 | 0.0000 |
| 6 | -0.914 | 20.60 | 0.0000 |
| 7 | -0.566 | 2.12 | 0.0000 |
| 8 | -0.573 | 7.16 | 0.0000 |